# 1
# PBE+U LaCoN2O, relaxed
data_LaCoN2O
_chemical_formula_sum 'La1 Co1 N2 O1'
_cell_length_a 3.7227
_cell_length_b 3.7227
_cell_length_c 4.1716
_cell_angle_alpha 90.00
_cell_angle_beta 90.00
_cell_angle_gamma 90.00
_space_group_name_H-M_alt 'P 4/m m m'
_space_group_IT_number 123
_space_group_name_Hall '-P 4 2'
loop_
_atom_site_label
_atom_site_type_symbol
_atom_site_fract_x
_atom_site_fract_y
_atom_site_fract_z
La1 La 0.0000 0.0000 0.0000
Co1 Co 0.5000 0.5000 0.5000
N1 N 0.0000 0.5000 0.5000
O1 O 0.5000 0.5000 0.0000
# - Uncorrected energy: -6.9570 eV/atom
# - Crystal system: tetragonal
# - Magnetization: 2.7 Bohr magnetons per cell

# 2
# PBE+U LaCoNO2, relaxed
data_LaCoNO2
_chemical_formula_sum 'La1 Co1 N1 O2'
_cell_length_a 3.9547
_cell_length_b 3.9547
_cell_length_c 3.6850
_cell_angle_alpha 90.00
_cell_angle_beta 90.00
_cell_angle_gamma 90.00
_space_group_name_H-M_alt 'P 4/m m m'
_space_group_IT_number 123
_space_group_name_Hall '-P 4 2'
loop_
_atom_site_label
_atom_site_type_symbol
_atom_site_fract_x
_atom_site_fract_y
_atom_site_fract_z
La1 La 0.0000 0.0000 0.0000
Co1 Co 0.5000 0.5000 0.5000
N1 N 0.5000 0.5000 0.0000
O1 O 0.0000 0.5000 0.5000
# - Uncorrected energy: -7.0400 eV/atom
# - Crystal system: tetragonal
# - Magnetization: 2.7 Bohr magnetons per cell

# 3
# PBE+U LaCoN2O, relaxed
data_LaCoN2O
_chemical_formula_sum 'La1 Co1 N2 O1'
_cell_length_a 4.3529
_cell_length_b 4.3529
_cell_length_c 4.4272
_cell_angle_alpha 90.00
_cell_angle_beta 90.00
_cell_angle_gamma 90.00
_space_group_name_H-M_alt 'P 4/m m m'
_space_group_IT_number 123
_space_group_name_Hall '-P 4 2'
loop_
_atom_site_label
_atom_site_type_symbol
_atom_site_fract_x
_atom_site_fract_y
_atom_site_fract_z
La1 La 0.0000 0.0000 0.0000
Co1 Co 0.5000 0.5000 0.5000
N1 N 0.0000 0.5000 0.0000
O1 O 0.0000 0.0000 0.5000
# - Uncorrected energy: -5.4410 eV/atom
# - Crystal system: tetragonal
# - Magnetization: 3.2 Bohr magnetons per cell

# 4
# PBE+U LaCoNO2, relaxed
data_LaCoNO2
_chemical_formula_sum 'La1 Co1 N1 O2'
_cell_length_a 4.4398
_cell_length_b 4.4398
_cell_length_c 4.4472
_cell_angle_alpha 90.00
_cell_angle_beta 90.00
_cell_angle_gamma 90.00
_space_group_name_H-M_alt 'P 4/m m m'
_space_group_IT_number 123
_space_group_name_Hall '-P 4 2'
loop_
_atom_site_label
_atom_site_type_symbol
_atom_site_fract_x
_atom_site_fract_y
_atom_site_fract_z
La1 La 0.0000 0.0000 0.0000
Co1 Co 0.5000 0.5000 0.5000
N1 N 0.0000 0.0000 0.5000
O1 O 0.0000 0.5000 0.0000
# - Uncorrected energy: -5.6270 eV/atom
# - Crystal system: tetragonal
# - Magnetization: 3.4 Bohr magnetons per cell

Respective DOS(E_F) values: 2.01 1.09 2.01 1.53 states/eV/f.u..